# 1
A relaxed structure of La2ThN3. Source: Alexandria via LeMat-Bulk, functional PBE.

Lattice parameters (Å, degrees): 3.6389 7.3181 8.8932 107.94 90.00 104.40
Closest atoms and distances in Å follow each position.
Atoms (fractional coordinates):
La 0.1682 0.3364 0.3328  6 N 2.58-2.80
La 0.8318 0.6636 0.6672  6 N 2.58-2.80
La 0.3310 0.6619 0.1644  6 N 2.59-2.71
La 0.6690 0.3381 0.8356  6 N 2.59-2.71
Th 0.5000 0.0000 0.0000  6 N 2.52-2.57
Th 0.0000 0.0000 0.5000  6 N 2.49-2.67
N 0.9772 0.9544 0.1900  3 Th 2.57-2.67, 3 La 2.60-2.71
N 0.0228 0.0456 0.8100  3 Th 2.57-2.67, 3 La 2.60-2.71
N 0.6853 0.3705 0.1376  1 Th 2.52, 5 La 2.58-2.71
N 0.3147 0.6295 0.8624  1 Th 2.52, 5 La 2.58-2.71
N 0.3753 0.7506 0.4702  2 Th 2.49, 3 La 2.59-2.73
N 0.6247 0.2494 0.5298  2 Th 2.49, 3 La 2.59-2.73

Calculated values
ρ (Mg/m³): 8.43
Total magnetic moment (μB/f.u.): 0.00
Fermi-level density of states (states/eV/f.u.): 2.2
Excess energy over the best structure of this formula in the dataset (meV per atom): 293.7
E (eV for the cell shown): -98.54
Space-group type: No. 12
ΔE_f (raw) (kJ/mol of atoms): -113

***

# 2
A relaxed structure of LaTh2N3. Source: Alexandria via LeMat-Bulk, functional PBE.

Lattice parameters (Å, degrees): 6.8814 6.1714 6.1714 60.00 90.00 90.00
Closest atoms and distances in Å follow each position.
Atoms (fractional coordinates):
La 0.2500 0.5000 0.5000  3 N 2.76
La 0.7500 0.5000 0.5000  3 N 2.76
Th 0.0000 0.1667 0.1667  6 N 2.50
Th 0.5000 0.1667 0.1667  6 N 2.50
Th 0.0000 0.8333 0.8333  6 N 2.50
Th 0.5000 0.8333 0.8333  6 N 2.50
N 0.7500 0.9479 0.0521  4 Th 2.50, 1 La 2.76
N 0.7500 0.0522 0.5000  4 Th 2.50, 1 La 2.76
N 0.2500 0.5000 0.0522  4 Th 2.50, 1 La 2.76
N 0.7500 0.5000 0.9478  4 Th 2.50, 1 La 2.76
N 0.2500 0.9478 0.5000  4 Th 2.50, 1 La 2.76
N 0.2500 0.0521 0.9479  4 Th 2.50, 1 La 2.76

Calculated values
ρ (Mg/m³): 9.44
Total magnetic moment (μB/f.u.): 0.00
Fermi-level density of states (states/eV/f.u.): 1.7
Excess energy over the best structure of this formula in the dataset (meV per atom): 0.0
E (eV for the cell shown): -105.25
Space-group type: No. 193
ΔE_f (raw) (kJ/mol of atoms): -127